Below is an optimized crystal structure of YTiRh4, with properties calculated at the GGA-PBE level.

Geometry as CIF:
```
data_YTiRh4
_chemical_formula_sum 'Y4 Ti4 Rh16'
_cell_length_a 7.391
_cell_length_b 7.391
_cell_length_c 7.391
_cell_angle_alpha 90.00
_cell_angle_beta 90.00
_cell_angle_gamma 90.00
_symmetry_space_group_name_H-M 'F -4 3 m'
_symmetry_Int_Tables_number 216
_symmetry_space_group_name_Hall 'F -4 2 3'
loop_
_atom_site_label
_atom_site_fract_x
_atom_site_fract_y
_atom_site_fract_z
Y1 0.000 0.000 0.000
Ti1 0.250 0.250 0.750
Rh1 0.125 0.125 0.375
```

Below is an optimized crystal structure of YTi2Rh2, with properties calculated at the GGA-PBE level.

Geometry as CIF:
```
data_YTi2Rh2
_chemical_formula_sum 'Y2 Ti4 Rh4'
_cell_length_a 7.734
_cell_length_b 7.734
_cell_length_c 2.911
_cell_angle_alpha 90.00
_cell_angle_beta 90.00
_cell_angle_gamma 90.00
_symmetry_space_group_name_H-M 'P 4/m b m'
_symmetry_Int_Tables_number 127
_symmetry_space_group_name_Hall '-P 4 2ab'
loop_
_atom_site_label
_atom_site_fract_x
_atom_site_fract_y
_atom_site_fract_z
Y1 0.000 0.000 0.000
Ti1 0.140 0.360 0.000
Rh1 0.153 0.653 0.500
```

Calculated values
Energy above the most stable polymorph in this dataset in eV per formula unit: 0.723

Below is an optimized crystal structure of Y2TiRh, with properties calculated at the GGA-PBE level.

Geometry as CIF:
```
data_Y2TiRh
_chemical_formula_sum 'Y8 Ti4 Rh4'
_cell_length_a 7.073
_cell_length_b 7.073
_cell_length_c 7.073
_cell_angle_alpha 90.00
_cell_angle_beta 90.00
_cell_angle_gamma 90.00
_symmetry_space_group_name_H-M 'F m -3 m'
_symmetry_Int_Tables_number 225
_symmetry_space_group_name_Hall '-F 4 2 3'
loop_
_atom_site_label
_atom_site_fract_x
_atom_site_fract_y
_atom_site_fract_z
Y1 0.250 0.250 0.250
Ti1 0.000 0.000 0.000
Rh1 0.000 0.000 0.500
```

Calculated values
Energy above the most stable polymorph in this dataset in eV per formula unit: 0.000

Below is an optimized crystal structure of YTiRh2, with properties calculated at the GGA-PBE level.

Geometry as CIF:
```
data_YTiRh2
_chemical_formula_sum 'Y1 Ti1 Rh2'
_cell_length_a 4.693
_cell_length_b 4.693
_cell_length_c 3.194
_cell_angle_alpha 90.00
_cell_angle_beta 90.00
_cell_angle_gamma 90.00
_symmetry_space_group_name_H-M 'P 4/m m m'
_symmetry_Int_Tables_number 123
_symmetry_space_group_name_Hall '-P 4 2'
loop_
_atom_site_label
_atom_site_fract_x
_atom_site_fract_y
_atom_site_fract_z
Y1 0.000 0.000 0.000
Ti1 0.500 0.500 0.000
Rh1 0.000 0.500 0.500
```

Calculated values
Energy above the most stable polymorph in this dataset in eV per formula unit: 0.428

Below is an optimized crystal structure of YTi2Rh3, with properties calculated at the GGA-PBE level.

Geometry as CIF:
```
data_YTi2Rh3
_chemical_formula_sum 'Y1 Ti2 Rh3'
_cell_length_a 3.131
_cell_length_b 3.131
_cell_length_c 10.317
_cell_angle_alpha 90.00
_cell_angle_beta 90.00
_cell_angle_gamma 90.00
_symmetry_space_group_name_H-M 'P 4/m m m'
_symmetry_Int_Tables_number 123
_symmetry_space_group_name_Hall '-P 4 2'
loop_
_atom_site_label
_atom_site_fract_x
_atom_site_fract_y
_atom_site_fract_z
Y1 0.000 0.000 0.000
Ti1 0.000 0.000 0.345
Rh1 0.500 0.500 0.209
Rh2 0.500 0.500 0.500
```

Below is an optimized crystal structure of Y2TiZn2Rh5, with properties calculated at the GGA-PBE level.

Geometry as CIF:
```
data_Y2TiZn2Rh5
_chemical_formula_sum 'Y4 Ti2 Zn4 Rh10'
_cell_length_a 9.881
_cell_length_b 9.881
_cell_length_c 3.459
_cell_angle_alpha 90.00
_cell_angle_beta 90.00
_cell_angle_gamma 90.00
_symmetry_space_group_name_H-M 'P 4/m b m'
_symmetry_Int_Tables_number 127
_symmetry_space_group_name_Hall '-P 4 2ab'
loop_
_atom_site_label
_atom_site_fract_x
_atom_site_fract_y
_atom_site_fract_z
Y1 0.171 0.329 0.000
Ti1 0.000 0.000 0.000
Zn1 0.127 0.627 0.000
Rh1 0.000 0.500 0.500
Rh2 0.064 0.803 0.500
```

Which formation energy from the elements belongs to each record? In order, -0.503; -0.528; -0.136; -0.649; -0.765; -0.657 eV/atom.